[1]
# TcOsRh2 (meta-GGA SCAN, PBEsol geometry)
data_TcOsRh2
_chemical_formula_sum 'Tc1 Os1 Rh2'
_cell_length_a 3.215
_cell_length_b 3.215
_cell_length_c 5.416
_cell_angle_alpha 90.00
_cell_angle_beta 90.00
_cell_angle_gamma 90.00
_symmetry_space_group_name_H-M 'P 4 m m'
_symmetry_Int_Tables_number 99
loop_
_symmetry_equiv_pos_as_xyz
'x,y,z'
'-y,x,z'
'-x,-y,z'
'y,-x,z'
'-x,y,z'
'y,x,z'
'x,-y,z'
'-y,-x,z'
loop_
_atom_site_label
_atom_site_fract_x
_atom_site_fract_y
_atom_site_fract_z
Tc1 0.000 0.000 0.000
Os1 0.500 0.500 0.250
Rh1 0.000 0.000 0.503
Rh2 0.500 0.500 0.747
# E_form in eV per atom: 0.33
# E above lowest polymorph in meV/atom: 417
# Density of states at the Fermi level in states/eV per cell: 4.1

=====

[2]
# Sr2PdSe (meta-GGA SCAN, PBEsol geometry)
data_Sr2PdSe
_chemical_formula_sum 'Sr8 Pd4 Se4'
_cell_length_a 7.773
_cell_length_b 7.773
_cell_length_c 8.414
_cell_angle_alpha 90.00
_cell_angle_beta 90.00
_cell_angle_gamma 90.00
_symmetry_space_group_name_H-M 'I -4 2 d'
_symmetry_Int_Tables_number 122
_symmetry_space_group_name_Hall 'I -4 2bw'
loop_
_atom_site_label
_atom_site_fract_x
_atom_site_fract_y
_atom_site_fract_z
Sr1 0.247 0.250 0.125
Pd1 0.000 0.000 0.000
Se1 0.000 0.000 0.500
# Uncorrected energy in eV/cell: -406.91

=====

[3]
# Zr2Ga2Pt (meta-GGA SCAN, PBEsol geometry)
data_Zr2Ga2Pt
_chemical_formula_sum 'Zr4 Ga4 Pt2'
_cell_length_a 6.479
_cell_length_b 6.479
_cell_length_c 4.144
_cell_angle_alpha 90.00
_cell_angle_beta 90.00
_cell_angle_gamma 90.00
_symmetry_space_group_name_H-M 'P 4/m b m'
_symmetry_Int_Tables_number 127
_symmetry_space_group_name_Hall '-P 4 2ab'
loop_
_atom_site_label
_atom_site_fract_x
_atom_site_fract_y
_atom_site_fract_z
Zr1 0.172 0.328 0.000
Ga1 0.135 0.635 0.500
Pt1 0.000 0.000 0.500
# E_form in eV per atom: -1.02
# Density of states at the Fermi level in states/eV per cell: 3.4

=====

[4]
# IrRuPt (meta-GGA SCAN, PBEsol geometry)
data_IrRuPt
_chemical_formula_sum 'Ir2 Ru2 Pt2'
_cell_length_a 2.699
_cell_length_b 2.699
_cell_length_c 11.620
_cell_angle_alpha 90.00
_cell_angle_beta 90.00
_cell_angle_gamma 90.00
_symmetry_space_group_name_H-M 'I 4 m m'
_symmetry_Int_Tables_number 107
_symmetry_space_group_name_Hall 'I 4 -2'
loop_
_atom_site_label
_atom_site_fract_x
_atom_site_fract_y
_atom_site_fract_z
Ir1 0.000 0.000 0.000
Ru1 0.000 0.000 0.347
Pt1 0.000 0.000 0.677
# E_form in eV per atom: -0.05
# E above lowest polymorph in meV/atom: 0
# Density of states at the Fermi level in states/eV per cell: 4.0

=====

[5]
# FeRe2Pt (meta-GGA SCAN, PBEsol geometry)
data_FeRe2Pt
_chemical_formula_sum 'Fe3 Re6 Pt3'
_cell_length_a 2.7230
_cell_length_b 2.7230
_cell_length_c 26.2798
_cell_angle_alpha 90.00
_cell_angle_beta 90.00
_cell_angle_gamma 120.00
_symmetry_space_group_name_H-M 'R 3 m'
_symmetry_Int_Tables_number 160
_symmetry_space_group_name_Hall 'R 3 -2"'
loop_
_atom_site_label
_atom_site_fract_x
_atom_site_fract_y
_atom_site_fract_z
Fe1 0.0000 0.0000 0.0000
Re1 0.0000 0.0000 0.2517
Re2 0.0000 0.0000 0.5027
Pt1 0.0000 0.0000 0.7473
# E_form in eV per atom: -0.02
# Density of states at the Fermi level in states/eV per cell: 9.2

=====

[6]
# AlTl2Ir (meta-GGA SCAN, PBEsol geometry)
data_AlTl2Ir
_chemical_formula_sum 'Al1 Tl2 Ir1'
_cell_length_a 3.107
_cell_length_b 3.107
_cell_length_c 8.396
_cell_angle_alpha 90.00
_cell_angle_beta 90.00
_cell_angle_gamma 90.00
_symmetry_space_group_name_H-M 'P 4/m m m'
_symmetry_Int_Tables_number 123
_symmetry_space_group_name_Hall '-P 4 2'
loop_
_atom_site_label
_atom_site_fract_x
_atom_site_fract_y
_atom_site_fract_z
Al1 0.000 0.000 0.000
Tl1 0.500 0.500 0.280
Ir1 0.000 0.000 0.500
# E_form in eV per atom: 0.54
# E above lowest polymorph in meV/atom: 658
# Density of states at the Fermi level in states/eV per cell: 1.6

=====

[7]
# KSc2Al (meta-GGA SCAN, PBEsol geometry)
data_KSc2Al
_chemical_formula_sum 'K1 Sc2 Al1'
_cell_length_a 3.488
_cell_length_b 3.487
_cell_length_c 9.259
_cell_angle_alpha 90.00
_cell_angle_beta 90.06
_cell_angle_gamma 90.00
_symmetry_space_group_name_H-M 'P 1 m 1'
_symmetry_Int_Tables_number 6
loop_
_symmetry_equiv_pos_as_xyz
'x,y,z'
'x,-y,z'
loop_
_atom_site_label
_atom_site_fract_x
_atom_site_fract_y
_atom_site_fract_z
K1 0.000 0.000 0.000
Sc1 0.498 0.500 0.359
Sc2 0.998 0.000 0.562
Al1 0.499 0.500 0.713
# E_form in eV per atom: 0.14
# Density of states at the Fermi level in states/eV per cell: 2.5

=====

[8]
# SrHgSb (meta-GGA SCAN, PBEsol geometry)
data_SrHgSb
_chemical_formula_sum 'Sr4 Hg4 Sb4'
_cell_length_a 7.409
_cell_length_b 7.409
_cell_length_c 7.409
_cell_angle_alpha 90.00
_cell_angle_beta 90.00
_cell_angle_gamma 90.00
_symmetry_space_group_name_H-M 'F -4 3 m'
_symmetry_Int_Tables_number 216
_symmetry_space_group_name_Hall 'F -4 2 3'
loop_
_atom_site_label
_atom_site_fract_x
_atom_site_fract_y
_atom_site_fract_z
Sr1 0.000 0.000 0.000
Hg1 0.250 0.250 0.750
Sb1 0.250 0.250 0.250
# E above lowest polymorph in meV/atom: 360
# Density of states at the Fermi level in states/eV per cell: 8.4

=====

[9]
# SeS3I (meta-GGA SCAN, PBEsol geometry)
data_SeS3I
_chemical_formula_sum 'Se1 S3 I1'
_cell_length_a 4.995
_cell_length_b 4.995
_cell_length_c 4.995
_cell_angle_alpha 90.00
_cell_angle_beta 90.00
_cell_angle_gamma 90.00
_symmetry_space_group_name_H-M 'P m -3 m'
_symmetry_Int_Tables_number 221
_symmetry_space_group_name_Hall '-P 4 2 3'
loop_
_atom_site_label
_atom_site_fract_x
_atom_site_fract_y
_atom_site_fract_z
Se1 0.000 0.000 0.000
S1 0.000 0.500 0.500
I1 0.500 0.500 0.500
# Uncorrected energy in eV/cell: -79.45
# Density of states at the Fermi level in states/eV per cell: 3.1

=====

[10]
# IrI2NCl (meta-GGA SCAN, PBEsol geometry)
data_IrI2NCl
_chemical_formula_sum 'Ir1 I2 N1 Cl1'
_cell_length_a 5.563
_cell_length_b 5.563
_cell_length_c 3.660
_cell_angle_alpha 90.00
_cell_angle_beta 90.00
_cell_angle_gamma 90.00
_symmetry_space_group_name_H-M 'P 4/m m m'
_symmetry_Int_Tables_number 123
_symmetry_space_group_name_Hall '-P 4 2'
loop_
_atom_site_label
_atom_site_fract_x
_atom_site_fract_y
_atom_site_fract_z
Ir1 0.000 0.000 0.000
I1 0.000 0.500 0.000
N1 0.000 0.000 0.500
Cl1 0.500 0.500 0.500
# Uncorrected energy in eV/cell: -159.57
# Density of states at the Fermi level in states/eV per cell: 4.9

=====

[11]
# Dy2OsC2 (meta-GGA SCAN, PBEsol geometry)
data_Dy2OsC2
_chemical_formula_sum 'Dy8 Os4 C8'
_cell_length_a 6.383
_cell_length_b 5.069
_cell_length_c 9.681
_cell_angle_alpha 90.00
_cell_angle_beta 90.00
_cell_angle_gamma 90.00
_symmetry_space_group_name_H-M 'P n m a'
_symmetry_Int_Tables_number 62
loop_
_symmetry_equiv_pos_as_xyz
'x,y,z'
'-x,-y,-z'
'-x+1/2,-y,z+1/2'
'x+1/2,y,-z+1/2'
'x+1/2,-y+1/2,-z+1/2'
'-x+1/2,y+1/2,z+1/2'
'-x,y+1/2,-z'
'x,-y+1/2,z'
loop_
_atom_site_label
_atom_site_fract_x
_atom_site_fract_y
_atom_site_fract_z
Dy1 0.026 0.250 0.219
Dy2 0.184 0.250 0.552
Os1 0.224 0.250 0.866
C1 0.039 0.750 0.242
C2 0.174 0.750 0.554
# E_form in eV per atom: -0.49
# Density of states at the Fermi level in states/eV per cell: 8.1

=====

[12]
# CdIn2Cu (meta-GGA SCAN, PBEsol geometry)
data_CdIn2Cu
_chemical_formula_sum 'Cd3 In6 Cu3'
_cell_length_a 3.2731
_cell_length_b 3.2731
_cell_length_c 26.2519
_cell_angle_alpha 90.00
_cell_angle_beta 90.00
_cell_angle_gamma 120.00
_symmetry_space_group_name_H-M 'R -3 m'
_symmetry_Int_Tables_number 166
_symmetry_space_group_name_Hall '-R 3 2"'
loop_
_atom_site_label
_atom_site_fract_x
_atom_site_fract_y
_atom_site_fract_z
Cd1 0.0000 0.0000 0.0000
In1 0.0000 0.0000 0.2400
Cu1 0.0000 0.0000 0.5000
# E_form in eV per atom: 0.10
# Density of states at the Fermi level in states/eV per cell: 3.7

=====

| no. | magnetization (μB/f.u.) |
| --- | --- |
| 1 | 0.0 |
| 2 | 0.0 |
| 3 | 0.0 |
| 4 | 0.0 |
| 5 | 3.4 |
| 6 | 0.0 |
| 7 | 1.1 |
| 8 | 0.0 |
| 9 | 3.0 |
| 10 | 0.0 |
| 11 | 0.0 |
| 12 | 0.0 |